[1]
LaH3Au | GGA-PBE | relaxed

Results
The calculation puts the size of the total moment at 0.0 Bohr magnetons per cell. The total energy is -3.53 eV per atom.

```
data_LaH3Au
_chemical_formula_sum 'La1 H3 Au1'
_space_group_name_H-M_alt 'P m -3 m'
_space_group_IT_number 221
_space_group_name_Hall '-P 4 2 3'
_cell_length_a 4.363
_cell_length_b 4.363
_cell_length_c 4.363
_cell_angle_alpha 90.00
_cell_angle_beta 90.00
_cell_angle_gamma 90.00
loop_
_atom_site_label
_atom_site_type_symbol
_atom_site_fract_x
_atom_site_fract_y
_atom_site_fract_z
La1 La 0.000 0.000 0.000
H1 H 0.000 0.000 0.500
Au1 Au 0.500 0.500 0.500
```

[2]
La2HAu | GGA-PBE | relaxed

Results
The calculation puts the size of the total moment at 0.0 Bohr magnetons per cell. As for the polymorph energy (0 for the lowest one): 0.0 meV/atom.

```
data_La2HAu
_chemical_formula_sum 'La4 H2 Au2'
_space_group_name_H-M_alt 'P -1'
_space_group_IT_number 2
_cell_length_a 4.015
_cell_length_b 7.252
_cell_length_c 7.687
_cell_angle_alpha 111.49
_cell_angle_beta 105.13
_cell_angle_gamma 90.02
loop_
_space_group_symop_operation_xyz
'x,y,z'
'-x,-y,-z'
loop_
_atom_site_label
_atom_site_type_symbol
_atom_site_fract_x
_atom_site_fract_y
_atom_site_fract_z
La1 La 0.021 0.269 0.043
La2 La 0.293 0.274 0.586
H1 H 0.113 0.618 0.225
Au1 Au 0.381 0.932 0.762
```

[3]
La3HAu | GGA-PBE | relaxed

Results
The calculation puts the size of the total moment at 0.0 Bohr magnetons per cell. As for the polymorph energy (0 for the lowest one): 76.9 meV/atom.

```
data_La3HAu
_chemical_formula_sum 'La3 H1 Au1'
_space_group_name_H-M_alt 'P m -3 m'
_space_group_IT_number 221
_space_group_name_Hall '-P 4 2 3'
_cell_length_a 5.002
_cell_length_b 5.002
_cell_length_c 5.002
_cell_angle_alpha 90.00
_cell_angle_beta 90.00
_cell_angle_gamma 90.00
loop_
_atom_site_label
_atom_site_type_symbol
_atom_site_fract_x
_atom_site_fract_y
_atom_site_fract_z
La1 La 0.000 0.000 0.500
H1 H 0.000 0.000 0.000
Au1 Au 0.500 0.500 0.500
```

[4]
LaHAu | GGA-PBE | relaxed

Results
The calculation puts the size of the total moment at 0.0 Bohr magnetons per cell. As for the polymorph energy (0 for the lowest one): 402.6 meV/atom.

```
data_LaHAu
_chemical_formula_sum 'La2 H2 Au2'
_space_group_name_H-M_alt 'I 4 m m'
_space_group_IT_number 107
_space_group_name_Hall 'I 4 -2'
_cell_length_a 4.254
_cell_length_b 4.254
_cell_length_c 7.411
_cell_angle_alpha 90.00
_cell_angle_beta 90.00
_cell_angle_gamma 90.00
loop_
_atom_site_label
_atom_site_type_symbol
_atom_site_fract_x
_atom_site_fract_y
_atom_site_fract_z
La1 La 0.000 0.000 0.000
H1 H 0.000 0.000 0.332
Au1 Au 0.000 0.000 0.575
```

[5]
La2HAu | GGA-PBE | relaxed

Results
The calculation puts the size of the total moment at 0.0 Bohr magnetons per cell. As for the polymorph energy (0 for the lowest one): 94.2 meV/atom.

```
data_La2HAu
_chemical_formula_sum 'La8 H4 Au4'
_space_group_name_H-M_alt 'I -4 2 d'
_space_group_IT_number 122
_space_group_name_Hall 'I -4 2bw'
_cell_length_a 7.119
_cell_length_b 7.119
_cell_length_c 7.621
_cell_angle_alpha 90.00
_cell_angle_beta 90.00
_cell_angle_gamma 90.00
loop_
_atom_site_label
_atom_site_type_symbol
_atom_site_fract_x
_atom_site_fract_y
_atom_site_fract_z
La1 La 0.176 0.250 0.125
H1 H 0.000 0.000 0.000
Au1 Au 0.000 0.000 0.500
```

[6]
La3HAu | GGA-PBE | relaxed

Results
The calculation puts the size of the total moment at 0.0 Bohr magnetons per cell. As for the polymorph energy (0 for the lowest one): 0.0 meV/atom.

```
data_La3HAu
_chemical_formula_sum 'La12 H4 Au4'
_space_group_name_H-M_alt 'C m m m'
_space_group_IT_number 65
_space_group_name_Hall '-C 2 2'
_cell_length_a 9.802
_cell_length_b 13.666
_cell_length_c 3.922
_cell_angle_alpha 90.00
_cell_angle_beta 90.00
_cell_angle_gamma 90.00
loop_
_atom_site_label
_atom_site_type_symbol
_atom_site_fract_x
_atom_site_fract_y
_atom_site_fract_z
La1 La 0.000 0.175 0.000
La2 La 0.189 0.376 0.500
H1 H 0.250 0.250 0.000
Au1 Au 0.000 0.000 0.500
Au2 Au 0.000 0.500 0.000
```

[7]
LaH2Au2 | GGA-PBE | relaxed

Results
The calculation puts the size of the total moment at 0.0 Bohr magnetons per cell. As for the polymorph energy (0 for the lowest one): 64.0 meV/atom.

```
data_LaH2Au2
_chemical_formula_sum 'La2 H4 Au4'
_space_group_name_H-M_alt 'P 4/m b m'
_space_group_IT_number 127
_space_group_name_Hall '-P 4 2ab'
_cell_length_a 6.510
_cell_length_b 6.510
_cell_length_c 3.953
_cell_angle_alpha 90.00
_cell_angle_beta 90.00
_cell_angle_gamma 90.00
loop_
_atom_site_label
_atom_site_type_symbol
_atom_site_fract_x
_atom_site_fract_y
_atom_site_fract_z
La1 La 0.000 0.000 0.000
H1 H 0.150 0.350 0.000
Au1 Au 0.154 0.346 0.500
```

[8]
La2HAu | GGA-PBE | relaxed

Results
The calculation puts the size of the total moment at 0.0 Bohr magnetons per cell. As for the polymorph energy (0 for the lowest one): 155.7 meV/atom.

```
data_La2HAu
_chemical_formula_sum 'La6 H3 Au3'
_space_group_name_H-M_alt 'R -3 m'
_space_group_IT_number 166
_space_group_name_Hall '-R 3 2"'
_cell_length_a 4.1180
_cell_length_b 4.1180
_cell_length_c 20.3856
_cell_angle_alpha 90.00
_cell_angle_beta 90.00
_cell_angle_gamma 120.00
loop_
_atom_site_label
_atom_site_type_symbol
_atom_site_fract_x
_atom_site_fract_y
_atom_site_fract_z
La1 La 0.0000 0.0000 0.2377
H1 H 0.0000 0.0000 0.5000
Au1 Au 0.0000 0.0000 0.0000
```